AcPaBe after structural relaxation. Source: OQMD via LeMat-Bulk, functional PBE.

Structure (POSCAR):
```
AcPaBe
1.0
0.000 3.414 3.414
3.414 0.000 3.414
3.414 3.414 0.000
Ac Pa Be
1 1 1
Direct
0.000 0.000 0.000
0.500 0.500 0.500
0.250 0.250 0.250
```

Output
energy above the most stable polymorph in this dataset	0.0	meV per atom

AcBePd3 after structural relaxation. Source: OQMD via LeMat-Bulk, functional PBE.

Structure (POSCAR):
```
AcBePd3
1.0
6.054 0.000 0.000
-3.027 5.243 0.000
0.000 0.000 5.783
Ac Be Pd
2 2 6
Direct
0.333 0.667 0.250
0.667 0.333 0.750
0.000 0.000 0.000
0.000 0.000 0.500
0.172 0.344 0.750
0.172 0.828 0.750
0.344 0.172 0.250
0.656 0.828 0.750
0.828 0.172 0.250
0.828 0.656 0.250
```

Output
VASP energy	-5.390	eV/atom

AcPrBe after structural relaxation. Source: OQMD via LeMat-Bulk, functional PBE.

Structure (POSCAR):
```
AcPrBe
1.0
0.000 3.615 3.615
3.615 0.000 3.615
3.615 3.615 0.000
Ac Pr Be
1 1 1
Direct
0.000 0.000 0.000
0.500 0.500 0.500
0.250 0.250 0.250
```

Output
energy above the most stable polymorph in this dataset	0.0	meV per atom

AcPuBe after structural relaxation. Source: OQMD via LeMat-Bulk, functional PBE.

Structure (POSCAR):
```
AcPuBe
1.0
0.000 3.508 3.508
3.508 0.000 3.508
3.508 3.508 0.000
Ac Pu Be
1 1 1
Direct
0.000 0.000 0.000
0.250 0.250 0.250
0.500 0.500 0.500
```

Output
energy above the most stable polymorph in this dataset	0.0	meV per atom